# 1
Entry from Alexandria via LeMat-Bulk: an optimized crystal structure of TbPmZnRu (PBE).

Cell lengths 4.016, 4.317, 5.709 Å; angles 90.00, 110.59, 90.00 degrees
Sites, in units of the cell vectors:
Ru 0.575 0.500 0.149
Tb 0.137 0.000 0.275
Zn 0.432 0.000 0.864
Pm 0.856 0.500 0.712

Results
- excess energy over the best structure of this formula in the dataset (kJ/mol of formula units) = 1
- space group = Amm2
- volume (A^3/atom) = 23.167
- ΔH_f (0 K) (eV per atom) = -0.29
- raw total energy (eV/atom) = -5.2702
- size of the total moment (μB/atom) = 0.000



# 2
Entry from Alexandria via LeMat-Bulk: an optimized crystal structure of TbPmZnRu (PBE).

Cell lengths 4.993, 4.993, 4.993 Å; angles 60.00, 60.00, 60.00 degrees
Sites, in units of the cell vectors:
Zn 0.250 0.250 0.250
Tb 0.000 0.000 0.000
Pm 0.500 0.500 0.500
Ru 0.750 0.750 0.750

Results
- excess energy over the best structure of this formula in the dataset (kJ/mol of formula units) = 0
- space group = F-43m
- volume (A^3/atom) = 22.001
- ΔH_f (0 K) (eV per atom) = -0.29
- raw total energy (eV/atom) = -5.2738
- size of the total moment (μB/atom) = 0.000



# 3
Entry from Alexandria via LeMat-Bulk: an optimized crystal structure of Pm2TcRu3 (PBE).

Cell lengths 5.557, 5.557, 8.384 Å; angles 90.00, 90.00, 120.00 degrees
Sites, in units of the cell vectors:
Ru 0.170 0.339 0.250
Pm 0.667 0.333 0.437
Pm 0.333 0.667 0.937
Ru 0.830 0.661 0.750
Tc 0.000 0.000 0.000
Ru 0.830 0.170 0.750
Ru 0.339 0.170 0.750
Pm 0.333 0.667 0.563
Ru 0.170 0.830 0.250
Pm 0.667 0.333 0.063
Tc 0.000 0.000 0.500
Ru 0.661 0.830 0.250

Results
- space group = P6_3/mmc
- volume (A^3/atom) = 18.688
- ΔH_f (0 K) (eV per atom) = -0.16
- raw total energy (eV/atom) = -8.1088
- size of the total moment (μB/atom) = 0.000